# 1
Here is a relaxed NpSn4 crystal from Alexandria via LeMat-Bulk. Energies are from PBE.

a b c (Å): 9.811 9.811 9.811
angles (deg): 153.13 141.87 47.26
Atoms (fractional coordinates):
Np 0.344 0.094 0.250
Np 0.656 0.906 0.750
Sn 0.000 0.500 0.500
Sn 0.155 0.905 0.250
Sn 0.186 0.693 0.493
Sn 0.300 0.307 0.993
Sn 0.500 0.500 0.000
Sn 0.700 0.693 0.007
Sn 0.814 0.307 0.507
Sn 0.845 0.095 0.750

Values from the calculation:
Magnetization, μB/f.u.: 4.258
DOS(E_F), states/eV per atom: 2.349
Volume, Å³/atom: 26.27
E_tot, eV per atom: -5.828
Crystal system: orthorhombic
Space group: Imma, No. 74

# 2
Here is a relaxed NpSn3 crystal from Alexandria via LeMat-Bulk. Energies are from PBE.

a b c (Å): 6.005 6.005 6.005
angles (deg): 136.37 136.37 63.41
Atoms (fractional coordinates):
Np 0.000 0.000 0.000
Sn 0.250 0.750 0.500
Sn 0.500 0.500 0.000
Sn 0.750 0.250 0.500

Values from the calculation:
Magnetization, μB/f.u.: 4.417
DOS(E_F), states/eV per atom: 2.344
Volume, Å³/atom: 25.44
E_tot, eV per atom: -6.307
Crystal system: tetragonal
Space group: I4/mmm, No. 139

Repeat the second record exactly.
Here is a relaxed NpSn3 crystal from Alexandria via LeMat-Bulk. Energies are from PBE.

a b c (Å): 6.005 6.005 6.005
angles (deg): 136.37 136.37 63.41
Atoms (fractional coordinates):
Np 0.000 0.000 0.000
Sn 0.250 0.750 0.500
Sn 0.500 0.500 0.000
Sn 0.750 0.250 0.500

Values from the calculation:
Magnetization, μB/f.u.: 4.417
DOS(E_F), states/eV per atom: 2.344
Volume, Å³/atom: 25.44
E_tot, eV per atom: -6.307
Crystal system: tetragonal
Space group: I4/mmm, No. 139

> Look up the E_tot of the first one.

-5.828 eV per atom

> Look up the volume of the first one.

26.27 Å³/atom